P) First-principles (GGA-PBE) data for ReSe2Br after structural relaxation, as listed in Alexandria via LeMat-Bulk.

Geometry as CIF:
```
data_ReSe2Br
_space_group_name_H-M_alt 'C m m m'
_space_group_IT_number 65
_space_group_name_Hall '-C 2 2'
_cell_length_a 2.869
_cell_length_b 5.735
_cell_length_c 11.408
_cell_angle_alpha 90.00
_cell_angle_beta 90.00
_cell_angle_gamma 90.00
loop_
_atom_site_label
_atom_site_type_symbol
_atom_site_fract_x
_atom_site_fract_y
_atom_site_fract_z
_atom_site_occupancy
Re1 Re 0.000 0.000 0.000 1
Se1 Se 0.000 0.500 0.181 1
Br1 Br 0.000 0.000 0.500 1
```

Output
For the density, the calculation gives 7.502 g/cm3. Its total magnetization is 0.00 μB/f.u. The density of states at the Fermi level comes out at 7.84 states/eV/cell.

=====

Q) First-principles (GGA-PBE) data for ReSe2Br after structural relaxation, as listed in Alexandria via LeMat-Bulk.

Geometry as CIF:
```
data_ReSe2Br
_space_group_name_H-M_alt 'C m m m'
_space_group_IT_number 65
_space_group_name_Hall '-C 2 2'
_cell_length_a 5.258
_cell_length_b 8.927
_cell_length_c 3.238
_cell_angle_alpha 90.00
_cell_angle_beta 90.00
_cell_angle_gamma 90.00
loop_
_atom_site_label
_atom_site_type_symbol
_atom_site_fract_x
_atom_site_fract_y
_atom_site_fract_z
_atom_site_occupancy
Re1 Re 0.000 0.000 0.000 1
Se1 Se 0.250 0.250 0.500 1
Br1 Br 0.000 0.500 0.000 1
```

Output
For the density, the calculation gives 9.267 g/cm3. Its total magnetization is 0.00 μB/f.u. The density of states at the Fermi level comes out at 7.93 states/eV/cell.

=====

Top of the stability list: P), leading by 688 meV per atom.